A plane-wave DFT calculation with PBE was carried out for crystalline TbTm5Sc2In at its relaxed geometry.

Lattice parameters (Å, degrees): 5.2220 19.3848 10.3543 90.00 90.00 90.00
Space group Cmcm (No. 63)
Asymmetric unit:
Tb: 0.0000 0.2020 0.2500 x4
Tm: 0.0000 0.0075 0.2500 x4
Tm: 0.0000 0.2911 0.5472 x8
Tm: 0.0000 0.3795 0.2500 x4
Tm: 0.0000 0.5000 0.0000 x4
Sc: 0.0000 0.1162 0.5373 x8
In: 0.0000 0.4071 0.7500 x4

Calculated formation energy ... 0.025 eV/atom
Spin magnetization ... 0.0 μB/f.u.

A plane-wave DFT calculation with PBE was carried out for crystalline KAgRu2 at its relaxed geometry.

Lattice parameters (Å, degrees): 2.7614 5.4664 10.7368 90.00 90.00 90.00
Space group Imm2 (No. 44)
Asymmetric unit:
K: 0.0000 0.0000 0.0000 x2
Ag: 0.0000 0.5000 0.7871 x2
Ru: 0.0000 0.0000 0.5240 x2
Ru: 0.0000 0.5000 0.2155 x2

Energy relative to the lowest polymorph listed for this composition ... 0.4795 eV per atom
Calculated formation energy ... 1.021 eV/atom
Spin magnetization ... 2.0 μB/f.u.

A plane-wave DFT calculation with PBE was carried out for crystalline TiBeMo at its relaxed geometry.

Lattice parameters (Å, degrees): 4.3533 4.3533 2.5764 90.00 90.00 120.00
Space group P3m1 (No. 156)
Asymmetric unit:
Ti: 0.0000 0.0000 0.0000 x1
Be: 0.6667 0.3333 0.6386 x1
Mo: 0.3333 0.6667 0.3508 x1

Energy relative to the lowest polymorph listed for this composition ... 0.2496 eV per atom
Calculated formation energy ... 0.118 eV/atom
Spin magnetization ... 0.4 μB/f.u.

A plane-wave DFT calculation with PBE was carried out for crystalline K2LiNd4Nb2O12 at its relaxed geometry.

Lattice parameters (Å, degrees): 13.0300 5.7432 9.0381 90.00 108.94 90.00
Space group Cm (No. 8)
Asymmetric unit:
K: 0.0000 0.0000 0.0000 x2
K: 0.2405 0.0000 0.9866 x2
Li: 0.2719 0.5000 0.5114 x2
Nd: 0.0012 0.0000 0.5450 x2
Nd: 0.0354 0.5000 0.2853 x2
Nd: 0.1933 0.5000 0.7256 x2
Nd: 0.2519 0.0000 0.4113 x2
Nb: 0.2794 0.5000 0.1996 x2
Nb: 0.4514 0.0000 0.7722 x2
O: 0.0670 0.2657 0.7762 x4
O: 0.1305 0.2568 0.4953 x4
O: 0.1679 0.2650 0.1968 x4
O: 0.2963 0.5000 0.9945 x2
O: 0.3533 0.2438 0.6442 x4
O: 0.3929 0.2566 0.3115 x4
O: 0.4400 0.0000 0.9721 x2

ΔE_f (raw) ... -2.7164 eV per atom
Energy relative to the lowest polymorph listed for this composition ... 0.0708 eV per atom
Spin magnetization ... 0.7 μB/f.u.

A plane-wave DFT calculation with PBE was carried out for crystalline NaLiCd2H at its relaxed geometry.

Lattice parameters (Å, degrees): 5.3783 5.3783 3.3916 90.00 90.00 90.00
Space group P4/mmm (No. 123)
Asymmetric unit:
Na: 0.0000 0.0000 0.0000 x1
Li: 0.5000 0.5000 0.0000 x1
Cd: 0.0000 0.5000 0.5000 x2
H: 0.5000 0.5000 0.5000 x1

Electronic total energy ... -8.4 eV per cell
Spin magnetization ... 0.0 μB/f.u.

A plane-wave DFT calculation with PBE was carried out for crystalline Ti2NbCoSn at its relaxed geometry.

Lattice parameters (Å, degrees): 4.4673 4.4673 4.6888 90.00 90.00 90.00
Space group P4/mmm (No. 123)
Asymmetric unit:
Ti: 0.0000 0.5000 0.0000 x2
Nb: 0.0000 0.0000 0.5000 x1
Co: 0.5000 0.5000 0.0000 x1
Sn: 0.5000 0.5000 0.5000 x1

Calculated formation energy ... 0.355 eV/atom
Spin magnetization ... 0.0 μB/f.u.

A plane-wave DFT calculation with PBE was carried out for crystalline CsRb2CdAg at its relaxed geometry.

Lattice parameters (Å, degrees): 6.8254 6.8254 7.0882 90.00 90.00 90.00
Space group P4/mmm (No. 123)
Asymmetric unit:
Cs: 0.0000 0.0000 0.0000 x1
Rb: 0.0000 0.5000 0.5000 x2
Cd: 0.5000 0.5000 0.0000 x1
Ag: 0.0000 0.0000 0.5000 x1

Energy relative to the lowest polymorph listed for this composition ... 0.0830 eV per atom
Calculated formation energy ... 0.147 eV/atom
Spin magnetization ... 0.5 μB/f.u.

A plane-wave DFT calculation with PBE was carried out for crystalline LaTb5Cd2 at its relaxed geometry.

Lattice parameters (Å, degrees): 3.6277 10.5476 12.7391 90.00 90.00 90.00
Space group Immm (No. 71)
Asymmetric unit:
La: 0.0000 0.0000 0.0000 x2
Tb: 0.0000 0.2236 0.3641 x8
Tb: 0.0000 0.5000 0.0000 x2
Cd: 0.0000 0.5000 0.2590 x4

Calculated formation energy ... -0.089 eV/atom
Spin magnetization ... 0.0 μB/f.u.

A plane-wave DFT calculation with PBE was carried out for crystalline Pr2Nd2Y5 at its relaxed geometry.

Lattice parameters (Å, degrees): 17.8372 3.5253 9.9605 90.00 98.81 90.00
Space group C2/m (No. 12)
Asymmetric unit:
Pr: 0.1640 0.0000 0.2244 x4
Nd: 0.0046 0.5000 0.6873 x4
Y: 0.0000 0.0000 0.0000 x2
Y: 0.1710 0.5000 0.5412 x4
Y: 0.1743 0.0000 0.8672 x4

Energy relative to the lowest polymorph listed for this composition ... 0.0000 eV per atom
Calculated formation energy ... 0.137 eV/atom
Spin magnetization ... 0.0 μB/f.u.

A plane-wave DFT calculation with PBE was carried out for crystalline CePa2Se5 at its relaxed geometry.

Lattice parameters (Å, degrees): 7.6985 7.6985 13.3695 90.00 90.00 90.00
Space group I4/mcm (No. 140)
Asymmetric unit:
Ce: 0.0000 0.0000 0.2500 x4
Pa: 0.1491 0.3509 0.0000 x8
Se: 0.0000 0.0000 0.0000 x4
Se: 0.1562 0.3438 0.3551 x16

ΔE_f (raw) ... -1.4937 eV per atom
Spin magnetization ... 4.0 μB/f.u.

A plane-wave DFT calculation with PBE was carried out for crystalline K2NaPtO4 at its relaxed geometry.

Lattice parameters (Å, degrees): 6.2648 14.0014 18.5218 90.00 90.00 90.00
Space group Fddd (No. 70, origin choice 2)
Asymmetric unit:
K: 0.1250 0.1250 0.3020 x16
Na: 0.1250 0.1250 0.1250 x8
Pt: 0.1250 0.1250 0.6250 x8
O: 0.0906 0.2786 0.8779 x32

ΔE_f (raw) ... -0.9024 eV per atom
Spin magnetization ... 3.0 μB/f.u.

A plane-wave DFT calculation with PBE was carried out for crystalline CsScCuO2 at its relaxed geometry.

Lattice parameters (Å, degrees): 4.2170 4.2170 5.3546 90.00 90.00 90.00
Space group P4/mmm (No. 123)
Asymmetric unit:
Cs: 0.0000 0.0000 0.0000 x1
Sc: 0.5000 0.5000 0.5000 x1
Cu: 0.5000 0.5000 0.0000 x1
O: 0.0000 0.5000 0.5000 x2

ΔE_f (raw) ... -1.0986 eV per atom
Spin magnetization ... 0.0 μB/f.u.